# PBE-GGA Pd12W, optimized geometry
# Symmetry   Im-3, No. 204
# Calculated total energy   -5.7985 eV per atom
# Fermi-level density of states   1.2704 states/eV/atom
# Magnetization   0.00 μB per formula unit
# Crystal system   cubic
data_Pd12W
_chemical_formula_sum 'Pd12 W1'
_cell_length_a 6.457
_cell_length_b 6.457
_cell_length_c 6.457
_cell_angle_alpha 109.47
_cell_angle_beta 109.47
_cell_angle_gamma 109.47
_symmetry_space_group_name_H-M 'P 1'
_symmetry_Int_Tables_number 1
loop_
_symmetry_equiv_pos_as_xyz
'x,y,z'
loop_
_atom_site_label
_atom_site_fract_x
_atom_site_fract_y
_atom_site_fract_z
_atom_site_occupancy
Pd1 0.509 0.817 0.692 1
Pd2 0.183 0.308 0.491 1
Pd3 0.817 0.308 0.124 1
Pd4 0.183 0.692 0.876 1
Pd5 0.124 0.817 0.308 1
Pd6 0.491 0.183 0.308 1
Pd7 0.692 0.876 0.183 1
Pd8 0.876 0.183 0.692 1
Pd9 0.308 0.124 0.817 1
Pd10 0.308 0.491 0.183 1
Pd11 0.692 0.509 0.817 1
Pd12 0.817 0.692 0.509 1
W1 0.000 0.000 0.000 1

***

# PBE-GGA PdW, optimized geometry
# Symmetry   I4/m, No. 87
# Calculated total energy   -8.7156 eV per atom
# Fermi-level density of states   0.7058 states/eV/atom
# Magnetization   0.00 μB per formula unit
# Crystal system   tetragonal
data_PdW
_chemical_formula_sum 'Pd8 W8'
_cell_length_a 10.019
_cell_length_b 10.019
_cell_length_c 2.677
_cell_angle_alpha 90.00
_cell_angle_beta 90.00
_cell_angle_gamma 90.00
_symmetry_space_group_name_H-M 'P 1'
_symmetry_Int_Tables_number 1
loop_
_symmetry_equiv_pos_as_xyz
'x,y,z'
loop_
_atom_site_label
_atom_site_fract_x
_atom_site_fract_y
_atom_site_fract_z
_atom_site_occupancy
Pd1 0.164 0.098 0.000 1
Pd2 0.098 0.836 0.000 1
Pd3 0.402 0.664 0.500 1
Pd4 0.902 0.164 0.000 1
Pd5 0.336 0.402 0.500 1
Pd6 0.598 0.336 0.500 1
Pd7 0.664 0.598 0.500 1
Pd8 0.836 0.902 0.000 1
W1 0.602 0.859 0.500 1
W2 0.141 0.602 0.500 1
W3 0.398 0.141 0.500 1
W4 0.102 0.359 0.000 1
W5 0.359 0.898 0.000 1
W6 0.898 0.641 0.000 1
W7 0.859 0.398 0.500 1
W8 0.641 0.102 0.000 1

***

# PBE-GGA Pd4W, optimized geometry
# Symmetry   R-3m, No. 166
# Calculated total energy   -6.7683 eV per atom
# Fermi-level density of states   1.2769 states/eV/atom
# Magnetization   0.00 μB per formula unit
# Crystal system   trigonal
data_Pd4W
_chemical_formula_sum 'Pd4 W1'
_cell_length_a 11.537
_cell_length_b 11.537
_cell_length_c 11.537
_cell_angle_alpha 13.90
_cell_angle_beta 13.90
_cell_angle_gamma 13.90
_symmetry_space_group_name_H-M 'P 1'
_symmetry_Int_Tables_number 1
loop_
_symmetry_equiv_pos_as_xyz
'x,y,z'
loop_
_atom_site_label
_atom_site_fract_x
_atom_site_fract_y
_atom_site_fract_z
_atom_site_occupancy
Pd1 0.201 0.201 0.201 1
Pd2 0.602 0.602 0.602 1
Pd3 0.398 0.398 0.398 1
Pd4 0.799 0.799 0.799 1
W1 0.000 0.000 0.000 1

***

# PBE-GGA PdW, optimized geometry
# Symmetry   R-3m, No. 166
# Calculated total energy   -8.9236 eV per atom
# Fermi-level density of states   1.0986 states/eV/atom
# Magnetization   0.00 μB per formula unit
# Crystal system   trigonal
data_PdW
_chemical_formula_sum 'Pd1 W1'
_cell_length_a 4.929
_cell_length_b 4.929
_cell_length_c 4.929
_cell_angle_alpha 32.77
_cell_angle_beta 32.77
_cell_angle_gamma 32.77
_symmetry_space_group_name_H-M 'P 1'
_symmetry_Int_Tables_number 1
loop_
_symmetry_equiv_pos_as_xyz
'x,y,z'
loop_
_atom_site_label
_atom_site_fract_x
_atom_site_fract_y
_atom_site_fract_z
_atom_site_occupancy
Pd1 0.000 0.000 0.000 1
W1 0.500 0.500 0.500 1